(1)
Compound: TlCd3
Source: Alexandria
Functional: PBE
Structure: optimized geometry

**Density of states at the Fermi level**: 0.49 states/eV per atom
**Calculated total energy**: -9.56 eV per cell
**Calculated formation energy**: 0.331 eV/f.u.

abc: 5.9176 5.9176 5.9176
angles: 90.00 90.00 90.00
Last column: nearest neighbours and their distance in Å.
Space group Pm-3n (No. 223)
Symmetry-distinct sites (fractional):
1 Tl 0.0000 0.0000 0.0000 [2 per cell]  12 Cd 3.31
2 Cd 0.0000 0.2500 0.5000 [6 per cell]  2 Cd 2.96, 4 Tl 3.31


(2)
Compound: AlIn5Hg6
Source: Alexandria
Functional: PBE
Structure: optimized geometry

**Density of states at the Fermi level**: 0.30 states/eV per atom
**Calculated total energy**: -37.60 eV per cell
**Calculated formation energy**: 0.446 eV/f.u.

abc: 8.5497 13.6851 5.9303
angles: 90.00 115.41 90.00
Last column: nearest neighbours and their distance in Å.
Space group C2/m (No. 12)
Symmetry-distinct sites (fractional):
1 Al 0.0000 0.0000 0.0000 [2 per cell]  6 Hg 2.82-2.92
2 In 0.0000 0.1885 0.5000 [4 per cell]  6 Hg 3.05-3.13
3 In 0.0000 0.3455 0.0000 [4 per cell]  6 Hg 3.10-3.15
4 In 0.0000 0.5000 0.5000 [2 per cell]  6 Hg 3.09-3.25
5 Hg 0.2164 0.0000 0.7299 [4 per cell]  1 Al 2.92, 5 In 3.10-3.25
6 Hg 0.2269 0.1578 0.2219 [8 per cell]  1 Al 2.82, 5 In 3.05-3.15


(3)
Compound: ScIr2Os
Source: Alexandria
Functional: PBE
Structure: optimized geometry

**Density of states at the Fermi level**: 0.77 states/eV per atom
**Calculated total energy**: -73.19 eV per cell
**Calculated formation energy**: -1.312 eV/f.u.

abc: 9.2734 2.8176 4.8375
angles: 90.00 100.25 90.00
Last column: nearest neighbours and their distance in Å.
Space group Cm (No. 8)
Symmetry-distinct sites (fractional):
1 Sc 0.0000 0.0000 0.0000 [2 per cell]  7 Ir 2.72-2.85, 2 Sc 2.82, 3 Os 2.88-2.95
2 Ir 0.9996 0.5000 0.4882 [2 per cell]  3 Os 2.65-2.71, 4 Sc 2.75-2.85, 5 Ir 2.81-2.91
3 Ir 0.2458 0.0000 0.7654 [2 per cell]  4 Os 2.66-2.95, 3 Sc 2.72-2.81, 5 Ir 2.81-2.91
4 Os 0.2595 0.5000 0.3040 [2 per cell]  7 Ir 2.65-2.95, 2 Os 2.82, 3 Sc 2.88-2.95


(4)
Compound: La2Cu5Ni2Ag
Source: Alexandria
Functional: PBE
Structure: optimized geometry

**Density of states at the Fermi level**: 0.50 states/eV per atom
**Calculated total energy**: -91.53 eV per cell
**Calculated formation energy**: -1.014 eV/f.u.

abc: 9.2904 9.2904 3.9025
angles: 90.00 90.00 90.00
Last column: nearest neighbours and their distance in Å.
Space group P4/mbm (No. 127)
Symmetry-distinct sites (fractional):
1 La 0.1853 0.3147 0.0000 [4 per cell]  3 Ni 2.64-2.86
2 Cu 0.0000 0.5000 0.5000 [2 per cell]  4 Ni 2.46
3 Cu 0.0544 0.7913 0.5000 [8 per cell]  2 Ni 2.61, 3 Cu 2.75-2.83, 2 Ag 2.80
4 Ni 0.1137 0.6137 0.0000 [4 per cell]  6 Cu 2.46-2.61, 1 La 2.64
5 Ag 0.0000 0.0000 0.0000 [2 per cell]  8 Cu 2.80


Calculated magnetization in order - 0.00; 0.00; 0.00; 0.00 μB/atom